No. 1
## Cd2TcGe2 (GGA-PBE)

Data for Cd2TcGe2 after structural relaxation.

The calculation puts the formation energy at 0.28 eV/atom. The value obtained for the density of states at the Fermi level is 1.00 states/eV/atom. Its energy above the most stable polymorph in this dataset is 0.000 eV/atom. The raw total energy comes out at -40.05 eV/cell.

a b c (Å): 6.678 6.678 4.194
angles (deg): 90.00 90.00 90.00
Element x y z (fractional)
Cd (0.174, 0.326, 0.000)
Cd (0.326, 0.826, 0.000)
Cd (0.674, 0.174, 0.000)
Cd (0.826, 0.674, 0.000)
Tc (0.000, 0.000, 0.500)
Tc (0.500, 0.500, 0.500)
Ge (0.138, 0.638, 0.500)
Ge (0.362, 0.138, 0.500)
Ge (0.638, 0.862, 0.500)
Ge (0.862, 0.362, 0.500)

---

No. 2
## CdTc2Ge2 (GGA-PBE)

Data for CdTc2Ge2 after structural relaxation.

The calculation puts the formation energy at 0.23 eV/atom. The value obtained for the density of states at the Fermi level is 0.59 states/eV/atom. Its energy above the most stable polymorph in this dataset is 0.198 eV/atom. The raw total energy comes out at -29.76 eV/cell.

a b c (Å): 6.853 6.853 6.853
angles (deg): 149.03 149.03 44.36
Element x y z (fractional)
Cd (0.000, 0.000, 0.000)
Tc (0.394, 0.394, 0.000)
Tc (0.606, 0.606, 0.000)
Ge (0.250, 0.750, 0.500)
Ge (0.750, 0.250, 0.500)

---

No. 3
## CdTc2Ge2 (GGA-PBE)

Data for CdTc2Ge2 after structural relaxation.

The calculation puts the formation energy at 0.03 eV/atom. The value obtained for the density of states at the Fermi level is 0.74 states/eV/atom. Its energy above the most stable polymorph in this dataset is 0.000 eV/atom. The raw total energy comes out at -61.49 eV/cell.

a b c (Å): 7.228 7.228 3.107
angles (deg): 90.00 90.00 90.00
Element x y z (fractional)
Cd (0.000, 0.000, 0.000)
Cd (0.500, 0.500, 0.000)
Tc (0.143, 0.357, 0.000)
Tc (0.357, 0.857, 0.000)
Tc (0.643, 0.143, 0.000)
Tc (0.857, 0.643, 0.000)
Ge (0.150, 0.650, 0.500)
Ge (0.350, 0.150, 0.500)
Ge (0.650, 0.850, 0.500)
Ge (0.850, 0.350, 0.500)